(1)
# Dy5In2, optimized geometry, DFT PBE
data_Dy5In2
_cell_length_a 21.1669
_cell_length_b 21.1669
_cell_length_c 5.2119
_cell_angle_alpha 90.00
_cell_angle_beta 90.00
_cell_angle_gamma 169.93
_space_group_name_H-M_alt 'P 1'
_space_group_IT_number 1
_space_group_name_Hall 'P 1'
loop_
_atom_site_label
_atom_site_fract_x
_atom_site_fract_y
_atom_site_fract_z
Dy1 0.0255 0.9745 0.7500
Dy2 0.1191 0.8809 0.2500
Dy3 0.2388 0.7612 0.7500
Dy4 0.3315 0.6685 0.2500
Dy5 0.4525 0.5475 0.7500
Dy6 0.5475 0.4525 0.2500
Dy7 0.6685 0.3315 0.7500
Dy8 0.7612 0.2388 0.2500
Dy9 0.8809 0.1191 0.7500
Dy10 0.9745 0.0255 0.2500
In1 0.1940 0.8060 0.2500
In2 0.4067 0.5933 0.2500
In3 0.5933 0.4067 0.7500
In4 0.8060 0.1940 0.7500
# Calculated formation energy in eV/atom: -0.2463
# Energy in eV/f.u.: -30.2
# Crystal system: orthorhombic


(2)
# La2ReNi, optimized geometry, DFT PBE
data_La2ReNi
_cell_length_a 3.5780
_cell_length_b 3.5780
_cell_length_c 7.0848
_cell_angle_alpha 90.00
_cell_angle_beta 90.00
_cell_angle_gamma 90.00
_space_group_name_H-M_alt 'P 1'
_space_group_IT_number 1
_space_group_name_Hall 'P 1'
loop_
_atom_site_label
_atom_site_fract_x
_atom_site_fract_y
_atom_site_fract_z
La1 0.0000 0.0000 0.2490
La2 0.0000 0.0000 0.7510
Re1 0.5000 0.5000 0.5000
Ni1 0.5000 0.5000 0.0000
# Calculated formation energy in eV/atom: 0.1903
# Energy in eV/f.u.: -27.3
# Crystal system: tetragonal


(3)
# K2GaTeF, optimized geometry, DFT PBE
data_K2GaTeF
_cell_length_a 4.8766
_cell_length_b 4.8766
_cell_length_c 6.6240
_cell_angle_alpha 90.00
_cell_angle_beta 90.00
_cell_angle_gamma 90.00
_space_group_name_H-M_alt 'P 1'
_space_group_IT_number 1
_space_group_name_Hall 'P 1'
loop_
_atom_site_label
_atom_site_fract_x
_atom_site_fract_y
_atom_site_fract_z
K1 0.0000 0.5000 0.0000
K2 0.5000 0.0000 0.0000
Ga1 0.0000 0.0000 0.5000
Te1 0.5000 0.5000 0.5000
F1 0.5000 0.5000 0.0000
# Uncorrected formation energy in kcal/mol of atoms: -22.74
# Energy in eV/f.u.: -15.2
# Crystal system: tetragonal


(4)
# Ba2C, optimized geometry, DFT PBE
data_Ba2C
_cell_length_a 4.2299
_cell_length_b 4.2299
_cell_length_c 15.6230
_cell_angle_alpha 90.00
_cell_angle_beta 90.00
_cell_angle_gamma 120.00
_space_group_name_H-M_alt 'P 1'
_space_group_IT_number 1
_space_group_name_Hall 'P 1'
loop_
_atom_site_label
_atom_site_fract_x
_atom_site_fract_y
_atom_site_fract_z
Ba1 0.3333 0.6667 0.0959
Ba2 0.3333 0.6667 0.4041
Ba3 0.6667 0.3333 0.5959
Ba4 0.6667 0.3333 0.9041
C1 0.0000 0.0000 0.0000
C2 0.0000 0.0000 0.5000
# Calculated formation energy in eV/atom: 0.6065
# Energy in eV/f.u.: -11.2
# Crystal system: hexagonal


no.,ρ (g/cm3)
1,8.48
2,9.57
3,3.10
4,3.93